Record 1
{
  "formula": "Re2OsPb",
  "functional": "SCAN",
  "state": "PBEsol geometry",
  "e_form_kj_per_mol_fu": 404,
  "sg": "F-43m, No. 216",
  "crystal_system": "cubic",
  "dos_ef_per_ev_cell": 1.4,
  "magnetic_moment_mub_per_cell": 2.0,
  "cell": [[4.508, 0.000, 0.000], [2.254, 3.904, 0.000], [2.254, 1.301, 3.680]],
  "species": ["Os", "Pb", "Re", "Re"],
  "fractional_positions": [[0.500, 0.500, 0.500], [0.250, 0.250, 0.250], [0.000, 0.000, 0.000], [0.750, 0.750, 0.750]]
}

---

Record 2
{
  "formula": "ReOsPb2",
  "functional": "SCAN",
  "state": "PBEsol geometry",
  "e_form_kj_per_mol_fu": 513,
  "polymorph_energy_ev_per_atom": 0.000,
  "sg": "R-3m, No. 166",
  "crystal_system": "trigonal",
  "dos_ef_per_ev_cell": 3.2,
  "magnetic_moment_mub_per_cell": 0.0,
  "cell": [[-1.615, -1.638, 2.122], [1.512, -1.606, 2.220], [-0.270, 5.949, 6.695]],
  "species": ["Os", "Pb", "Pb", "Re"],
  "fractional_positions": [[0.000, 0.000, 0.000], [0.251, 0.251, 0.246], [0.749, 0.749, 0.754], [0.500, 0.500, 0.500]]
}

---

Record 3
{
  "formula": "ReOs2Pb",
  "functional": "SCAN",
  "state": "PBEsol geometry",
  "e_form_kj_per_mol_fu": 335,
  "sg": "Pmm2, No. 25",
  "crystal_system": "orthorhombic",
  "dos_ef_per_ev_cell": 3.9,
  "magnetic_moment_mub_per_cell": 0.0,
  "cell": [[-1.001, 1.671, 2.009], [-2.391, -2.579, 0.953], [4.456, -2.533, 4.327]],
  "species": ["Os", "Os", "Pb", "Re"],
  "fractional_positions": [[0.000, 0.000, 0.000], [0.500, 0.500, 0.200], [0.000, 0.000, 0.495], [0.500, 0.500, 0.805]]
}

---

What did the first record say?
{
  "formula": "Re2OsPb",
  "functional": "SCAN",
  "state": "PBEsol geometry",
  "e_form_kj_per_mol_fu": 404,
  "sg": "F-43m, No. 216",
  "crystal_system": "cubic",
  "dos_ef_per_ev_cell": 1.4,
  "magnetic_moment_mub_per_cell": 2.0,
  "cell": [[4.508, 0.000, 0.000], [2.254, 3.904, 0.000], [2.254, 1.301, 3.680]],
  "species": ["Os", "Pb", "Re", "Re"],
  "fractional_positions": [[0.500, 0.500, 0.500], [0.250, 0.250, 0.250], [0.000, 0.000, 0.000], [0.750, 0.750, 0.750]]
}